Entry 1:
10
Lattice="-5.959 -4.745 3.185 0.844 -3.152 7.584 -4.668 2.835 6.192" Properties=species:S:1:pos:R:3 comment="meta-GGA SCAN Cs2CuBiI6, PBEsol geometry" raw_formation_energy_ev_per_atom=-0.867 pbc="T T T"
I -4.785 0.022 7.392
I -4.383 -1.478 11.000
I -4.998 -5.084 9.569
Bi 0.000 0.000 0.000
Cs -7.337 -3.796 12.721
I -2.163 -2.826 8.054
Cu -4.891 -2.531 8.481
Cs -2.446 -1.265 4.240
I -5.399 -3.584 5.961
I -7.620 -2.235 8.907


Entry 2:
4
Lattice="-2.094 0.199 1.730 2.101 -1.624 0.603 4.236 7.081 4.315" Properties=species:S:1:pos:R:3 comment="meta-GGA SCAN CdIrRh2, PBEsol geometry" delta_e_f_ev_per_atom=0.26 pbc="T T T"
Rh 3.225 4.672 4.447
Cd 2.131 3.561 2.170
Ir 1.012 0.973 2.194
Rh 4.230 7.071 4.309


Entry 3:
3
Lattice="3.865 0.000 0.000 1.933 3.347 0.000 1.933 1.116 3.156" Properties=species:S:1:pos:R:3 comment="meta-GGA SCAN MnSiOs, PBEsol geometry" raw_formation_energy_ev_per_atom=-0.108 pbc="T T T"
Mn 1.933 1.116 0.789
Si 3.865 2.232 1.578
Os 0.000 0.000 0.000


Entry 4:
4
Lattice="-3.555 1.724 0.428 -0.591 -2.102 3.560 4.952 5.261 1.480" Properties=species:S:1:pos:R:3 comment="meta-GGA SCAN LaPbSe2, PBEsol geometry" raw_formation_energy_ev_per_atom=-1.347 pbc="T T T"
Se 0.129 0.228 0.156
La 2.651 4.671 3.198
Pb 0.998 1.228 3.341
Se -0.093 3.830 2.246


Entry 5:
3
Lattice="-0.422 -1.608 1.827 0.189 -3.023 -2.616 3.316 1.245 1.862" Properties=species:S:1:pos:R:3 comment="meta-GGA SCAN TcNi2, PBEsol geometry" delta_e_f_ev_per_atom=0.00 pbc="T T T"
Ni 2.274 -0.177 0.369
Tc -0.211 -0.804 0.914
Ni 1.232 -1.600 -1.123


Entry 6:
5
Lattice="-4.491 -2.407 0.537 2.426 -4.111 1.864 -0.445 1.888 4.743" Properties=species:S:1:pos:R:3 comment="meta-GGA SCAN CoCI3, PBEsol geometry" raw_formation_energy_ev_per_atom=1.596 pbc="T T T"
I 1.213 -2.055 0.932
I -2.246 -1.204 0.268
I -0.222 0.944 2.371
Co 0.000 0.000 0.000
C -1.255 -2.315 3.572


Entry 7:
5
Lattice="5.309 0.000 0.000 0.000 5.309 0.000 0.000 0.000 5.309" Properties=species:S:1:pos:R:3 comment="meta-GGA SCAN Zr3InBi, PBEsol geometry" delta_e_f_ev_per_atom=0.79 pbc="T T T"
In 2.655 2.655 2.655
Bi 0.000 0.000 0.000
Zr 2.655 0.000 0.000
Zr 0.000 2.655 0.000
Zr 0.000 0.000 2.655


Entry 8:
4
Lattice="-1.921 2.713 -0.590 -2.328 -1.183 2.140 3.824 4.105 6.430" Properties=species:S:1:pos:R:3 comment="meta-GGA SCAN Tl2PtPb, PBEsol geometry" delta_e_f_ev_per_atom=-0.01 pbc="T T T"
Pt 0.745 3.846 5.601
Tl -1.209 1.748 2.314
Pb 2.130 2.287 3.582
Tl 3.644 3.912 6.127


Entry 9:
4
Lattice="4.696 0.000 0.000 0.000 4.696 0.000 -2.348 -2.348 4.726" Properties=species:S:1:pos:R:3 comment="meta-GGA SCAN Ce3Sm, PBEsol geometry" delta_e_f_ev_per_atom=0.11 pbc="T T T"
Ce 2.348 2.348 0.000
Ce 2.348 0.000 2.363
Ce 0.000 2.348 2.363
Sm 0.000 0.000 0.000


Entry 10:
4
Lattice="-0.962 -3.730 0.143 3.727 -0.972 -0.286 0.391 0.101 5.285" Properties=species:S:1:pos:R:3 comment="meta-GGA SCAN YAu2Cl, PBEsol geometry" raw_formation_energy_ev_per_atom=-0.945 pbc="T T T"
Au 1.382 -2.351 -0.072
Y 2.059 -0.436 2.499
Cl -0.286 -1.814 2.714
Au 0.000 0.000 0.000


Entry 11:
14
Lattice="5.824 0.022 0.016 2.839 5.085 0.016 2.839 1.674 4.802" Properties=species:S:1:pos:R:3 comment="meta-GGA SCAN MgAlCr3FeO8, PBEsol geometry" raw_formation_energy_ev_per_atom=-2.619 pbc="T T T"
O 7.157 4.220 1.403
O 5.667 1.826 1.301
O 5.830 4.954 3.531
O 7.157 2.703 3.531
Cr 4.332 2.554 0.022
O 3.016 1.778 1.267
Mg 1.423 0.839 0.598
O 4.341 4.075 1.301
O 4.341 2.559 3.427
O 8.496 5.009 3.570
Cr 2.845 3.376 2.407
Fe 10.084 5.945 4.237
Cr 4.332 0.854 2.407
Al 5.736 3.382 2.410


Entry 12:
4
Lattice="-0.918 3.582 0.593 -2.714 -0.147 -3.314 -3.732 -3.576 4.000" Properties=species:S:1:pos:R:3 comment="meta-GGA SCAN SiTe2Au, PBEsol geometry" raw_formation_energy_ev_per_atom=0.123 pbc="T T T"
Te -4.154 -1.121 0.340
Au -5.594 -1.860 2.578
Te -0.326 -0.122 0.234
Si -2.837 1.104 0.765


no.,total magnetization (Bohr magnetons per cell)
1,0.00
2,0.00
3,0.00
4,0.00
5,0.21
6,0.26
7,0.00
8,0.00
9,0.00
10,0.00
11,13.00
12,0.00